Crystalline Ba2CrF at its relaxed geometry, computed with PBE+U.

Total magnetization (μB per cell): 5.25
Total DFT energy (no corrections) (eV per cell): -15.7
Crystal system: cubic
E above lowest polymorph (eV/atom): 0.417
Calculated volume (Å³ per atom): 34.44

Lattice parameters (Å, degrees): 5.7972 5.7972 5.7972 60.00 60.00 60.00
With the nearest neighbours (Å) after each atom.
Fractional coordinates of all 4 atoms:
Ba 0.2500 0.2500 0.2500  4 Cr 3.55, 4 F 3.55
Ba 0.7500 0.7500 0.7500  4 Cr 3.55, 4 F 3.55
F 0.0000 0.0000 0.0000  8 Ba 3.55
Cr 0.5000 0.5000 0.5000  8 Ba 3.55